MgPtCl2: relaxed, PBEsol.

## Properties
SG: No. 99
Distance to the lowest polymorph of the same formula: 0 meV/atom
Final energy: -3.73 eV per atom
Energy relative to the elements, uncorrected: -0.559 eV per atom
M_tot: 0.00 μB/atom

Cell lengths 3.472, 3.472, 6.452 Å; angles 90.00, 90.00, 90.00 degrees
Positions (direct):
Cl1 0.000 0.000 0.934
Cl2 0.500 0.500 0.336
Mg1 0.000 0.000 0.535
Pt1 0.500 0.500 0.696

---

MgTa2Be: relaxed, PBEsol.

## Properties
SG: No. 139
Distance to the lowest polymorph of the same formula: 0 meV/atom
Energy of formation from the pure elements: 33.8 kJ per mole of atoms
D(E_F): 2.544 states/eV/f.u.
Final energy: -7.35 eV per atom
M_tot: 0.00 μB/atom

Cell lengths 3.935, 3.935, 4.938 Å; angles 113.48, 113.48, 90.00 degrees
Positions (direct):
Be1 0.500 0.500 0.000
Mg1 0.000 0.000 0.000
Ta1 0.750 0.250 0.500
Ta2 0.250 0.750 0.500

---

AlBrF3: relaxed, PBEsol.

## Properties
SG: No. 221
D(E_F): 3.208 states/eV/f.u.
Final energy: -4.46 eV per atom
Energy relative to the elements, uncorrected: -2.113 eV per atom
M_tot: 0.20 μB/atom

Cell lengths 3.894, 3.894, 3.894 Å; angles 90.00, 90.00, 90.00 degrees
Positions (direct):
Al1 0.500 0.500 0.500
Br1 0.000 0.000 0.000
F1 0.000 0.500 0.500
F2 0.500 0.000 0.500
F3 0.500 0.500 0.000

---

Q: What is the formula in the second record?
A: MgTa2Be

---

Q: Which of these has the lowest final energy?
A: MgTa2Be